No. 1
MnHgAs2: relaxed, GGA-PBE.

Geometry as POSCAR:
```
MnHgAs2
1.0
2.8131 0.0000 0.0000
0.0000 4.9645 0.0000
0.0000 0.0000 11.2160
Mn Hg As
2 2 4
Direct
0.0000 0.0000 0.0000 Mn
0.5000 0.5000 0.5000 Mn
0.0000 0.0000 0.5000 Hg
0.5000 0.5000 0.0000 Hg
0.0000 0.5000 0.3154 As
0.0000 0.5000 0.6846 As
0.5000 0.0000 0.1846 As
0.5000 0.0000 0.8154 As
```

Properties
ΔH_f (0 K) = 0.158 eV/atom
mass density = 8.6 g/cm3
E = -4.53 eV per atom
volume = 19.579 A^3/atom

=====

No. 2
MnHgAs2: relaxed, GGA-PBE.

Geometry as POSCAR:
```
MnHgAs2
1.0
3.9695 0.0000 0.0000
0.0000 3.9695 0.0000
0.0000 0.0000 9.8999
Mn Hg As
2 2 4
Direct
0.0000 0.0000 0.0000 Mn
0.5000 0.5000 0.5000 Mn
0.0000 0.5000 0.2500 Hg
0.5000 0.0000 0.7500 Hg
0.0000 0.0000 0.5000 As
0.0000 0.5000 0.7500 As
0.5000 0.0000 0.2500 As
0.5000 0.5000 0.0000 As
```

Properties
ΔH_f (0 K) = 0.346 eV/atom
mass density = 8.6 g/cm3
E = -4.35 eV per atom
volume = 19.499 A^3/atom

=====

No. 3
MnHgAs2: relaxed, GGA-PBE.

Geometry as POSCAR:
```
MnHgAs2
1.0
5.7574 0.0000 0.0000
0.0000 7.4355 0.0000
-1.8188 0.0000 3.8913
Mn Hg As
2 2 4
Direct
0.0000 0.0000 0.0000 Mn
0.5000 0.5000 0.0000 Mn
0.0000 0.5000 0.0000 Hg
0.5000 0.0000 0.0000 Hg
0.2500 0.2500 0.5000 As
0.2500 0.7500 0.5000 As
0.7500 0.2500 0.5000 As
0.7500 0.7500 0.5000 As
```

Properties
ΔH_f (0 K) = 0.299 eV/atom
mass density = 8.1 g/cm3
E = -4.39 eV per atom
volume = 20.823 A^3/atom

=====

No. 4
MnHg2As: relaxed, GGA-PBE.

Geometry as POSCAR:
```
MnHg2As
1.0
3.4948 0.0000 0.0000
-1.7474 3.0266 0.0000
0.0000 0.0000 25.0672
Mn Hg As
3 6 3
Direct
0.0000 0.0000 0.0000 Mn
0.3333 0.6667 0.6667 Mn
0.6667 0.3333 0.3333 Mn
0.0000 0.0000 0.5131 Hg
0.0000 0.0000 0.7484 Hg
0.3333 0.6667 0.1798 Hg
0.3333 0.6667 0.4150 Hg
0.6667 0.3333 0.0817 Hg
0.6667 0.3333 0.8464 Hg
0.0000 0.0000 0.2792 As
0.3333 0.6667 0.9459 As
0.6667 0.3333 0.6125 As
```

Properties
ΔH_f (0 K) = 0.129 eV/atom
mass density = 10.0 g/cm3
E = -3.48 eV per atom
volume = 22.096 A^3/atom

=====

No. 5
MnHgAs2: relaxed, GGA-PBE.

Geometry as POSCAR:
```
MnHgAs2
1.0
7.0448 0.0000 0.0000
0.0000 3.1925 0.0000
-1.9855 0.0000 7.8757
Mn Hg As
2 2 4
Direct
0.0000 0.0000 0.0000 Mn
0.5000 0.5000 0.0000 Mn
0.0000 0.5000 0.5000 Hg
0.5000 0.0000 0.5000 Hg
0.1468 0.5000 0.8363 As
0.3532 0.0000 0.1637 As
0.6468 0.0000 0.8363 As
0.8532 0.5000 0.1637 As
```

Properties
ΔH_f (0 K) = -0.002 eV/atom
mass density = 7.6 g/cm3
E = -4.69 eV per atom
volume = 22.141 A^3/atom

=====

No. 6
MnHgAs: relaxed, GGA-PBE.

Geometry as POSCAR:
```
MnHgAs
1.0
6.3295 0.0000 0.0000
0.0000 6.3295 0.0000
0.0000 0.0000 6.3295
Mn Hg As
4 4 4
Direct
0.0000 0.0000 0.0000 Mn
0.0000 0.5000 0.5000 Mn
0.5000 0.0000 0.5000 Mn
0.5000 0.5000 0.0000 Mn
0.2500 0.2500 0.7500 Hg
0.2500 0.7500 0.2500 Hg
0.7500 0.2500 0.2500 Hg
0.7500 0.7500 0.7500 Hg
0.2500 0.2500 0.2500 As
0.2500 0.7500 0.7500 As
0.7500 0.2500 0.7500 As
0.7500 0.7500 0.2500 As
```

Properties
ΔH_f (0 K) = 0.190 eV/atom
mass density = 8.7 g/cm3
E = -4.52 eV per atom
distance to the lowest polymorph of the same formula = 29 meV/atom
volume = 21.131 A^3/atom

=====

No. 7
MnHg2As: relaxed, GGA-PBE.

Geometry as POSCAR:
```
MnHg2As
1.0
6.9401 0.0000 0.0000
0.0000 6.9401 0.0000
0.0000 0.0000 6.9401
Mn Hg As
4 8 4
Direct
0.0000 0.0000 0.0000 Mn
0.0000 0.5000 0.5000 Mn
0.5000 0.0000 0.5000 Mn
0.5000 0.5000 0.0000 Mn
0.0000 0.0000 0.5000 Hg
0.0000 0.5000 0.0000 Hg
0.2500 0.2500 0.2500 Hg
0.2500 0.7500 0.7500 Hg
0.5000 0.0000 0.0000 Hg
0.5000 0.5000 0.5000 Hg
0.7500 0.2500 0.7500 Hg
0.7500 0.7500 0.2500 Hg
0.2500 0.2500 0.7500 As
0.2500 0.7500 0.2500 As
0.7500 0.2500 0.2500 As
0.7500 0.7500 0.7500 As
```

Properties
ΔH_f (0 K) = 0.391 eV/atom
mass density = 10.6 g/cm3
E = -3.21 eV per atom
volume = 20.892 A^3/atom

=====

No. 8
MnHg2As: relaxed, GGA-PBE.

Geometry as POSCAR:
```
MnHg2As
1.0
3.0624 0.0000 0.0000
0.0000 3.0624 0.0000
0.0000 0.0000 8.6196
Mn Hg As
1 2 1
Direct
0.0000 0.0000 0.0000 Mn
0.5000 0.5000 0.2261 Hg
0.5000 0.5000 0.7739 Hg
0.0000 0.0000 0.5000 As
```

Properties
ΔH_f (0 K) = 0.360 eV/atom
mass density = 10.9 g/cm3
E = -3.25 eV per atom
volume = 20.209 A^3/atom

=====

No. 9
MnHg2As: relaxed, GGA-PBE.

Geometry as POSCAR:
```
MnHg2As
1.0
8.3913 0.0000 0.0000
0.0000 3.2343 0.0000
-2.1073 0.0000 6.6312
Mn Hg As
2 4 2
Direct
0.0000 0.0000 0.0000 Mn
0.5000 0.5000 0.0000 Mn
0.1740 0.5000 0.3533 Hg
0.4777 0.0000 0.6471 Hg
0.6740 0.0000 0.3533 Hg
0.9777 0.5000 0.6471 Hg
0.2903 0.0000 0.0048 As
0.7903 0.5000 0.0048 As
```

Properties
ΔH_f (0 K) = 0.172 eV/atom
mass density = 9.8 g/cm3
E = -3.43 eV per atom
volume = 22.496 A^3/atom

=====

No. 10
MnHg2As: relaxed, GGA-PBE.

Geometry as POSCAR:
```
MnHg2As
1.0
3.4768 0.0000 0.0000
0.0000 3.2458 0.0000
-1.6551 0.0000 7.8588
Mn Hg As
1 2 1
Direct
0.0000 0.0000 0.0000 Mn
0.1502 0.5000 0.3050 Hg
0.7922 0.0000 0.5949 Hg
0.4507 0.5000 0.8957 As
```

Properties
ΔH_f (0 K) = 0.099 eV/atom
mass density = 9.9 g/cm3
E = -3.51 eV per atom
volume = 22.172 A^3/atom

=====

No. 11
Mn2HgAs: relaxed, GGA-PBE.

Geometry as POSCAR:
```
Mn2HgAs
1.0
3.6538 0.0000 0.0000
0.0000 4.3451 0.0000
-0.0139 0.0000 4.3295
Mn Hg As
2 1 1
Direct
0.0000 0.0000 0.0000 Mn
0.0000 0.5000 0.5000 Mn
0.5000 0.0000 0.5000 Hg
0.5000 0.5000 0.0000 As
```

Properties
ΔH_f (0 K) = 0.270 eV/atom
mass density = 9.3 g/cm3
E = -5.55 eV per atom
distance to the lowest polymorph of the same formula = 99 meV/atom
volume = 17.184 A^3/atom

=====

No. 12
MnHgAs: relaxed, GGA-PBE.

Geometry as POSCAR:
```
MnHgAs
1.0
3.4078 0.0000 0.0000
-1.7039 2.9512 0.0000
0.0000 0.0000 6.0543
Mn Hg As
1 1 1
Direct
0.0000 0.0000 0.0000 Mn
0.3333 0.6667 0.6564 Hg
0.6667 0.3333 0.2353 As
```

Properties
ΔH_f (0 K) = 0.161 eV/atom
mass density = 9.0 g/cm3
E = -4.55 eV per atom
distance to the lowest polymorph of the same formula = 0 meV/atom
volume = 20.296 A^3/atom